1.
{
  "formula": "Co2CuOs",
  "functional": "GGA-PBE",
  "state": "optimized geometry",
  "lattice": [[1.3458, -2.1760, 0.0000], [1.3458, 2.1760, 0.0000], [0.0000, 0.0000, 8.6248]],
  "species": ["Co", "Co", "Cu", "Os"],
  "frac_coords": [[0.0000, 0.0000, 0.0000], [0.5000, 0.5000, 0.2306], [0.0000, 0.0000, 0.4771], [0.5000, 0.5000, 0.7441]],
  "e_above_lowest_polymorph_ev_per_atom": 0.180,
  "energy_ev_per_atom": -7.05,
  "m_tot_mub_per_fu": 3.70,
  "vol_a3_per_atom": 12.6,
  "formation_energy_ev_per_atom": 0.34
}



2.
{
  "formula": "In3RhF",
  "functional": "GGA-PBE",
  "state": "optimized geometry",
  "lattice": [[4.7574, 0.0000, 0.0000], [0.0000, 4.7574, 0.0000], [0.0000, 0.0000, 4.7574]],
  "species": ["In", "In", "In", "Rh", "F"],
  "frac_coords": [[0.0000, 0.0000, 0.5000], [0.0000, 0.5000, 0.0000], [0.5000, 0.0000, 0.0000], [0.5000, 0.5000, 0.5000], [0.0000, 0.0000, 0.0000]],
  "raw_formation_energy_ev_per_atom": -0.17,
  "e_above_lowest_polymorph_ev_per_atom": 0.481,
  "energy_ev_per_atom": -3.65,
  "m_tot_mub_per_fu": 0.00,
  "vol_a3_per_atom": 21.5
}



3.
{
  "formula": "GaI2O2",
  "functional": "GGA-PBE",
  "state": "optimized geometry",
  "lattice": [[4.1690, 0.0000, 0.0000], [0.0000, 4.1690, 0.0000], [0.0000, 0.0000, 8.3355]],
  "species": ["Ga", "I", "I", "O", "O"],
  "frac_coords": [[0.0000, 0.0000, 0.0000], [0.5000, 0.5000, 0.0000], [0.5000, 0.5000, 0.5000], [0.0000, 0.5000, 0.5000], [0.5000, 0.0000, 0.5000]],
  "raw_formation_energy_ev_per_atom": 0.00,
  "e_above_lowest_polymorph_ev_per_atom": 0.021,
  "energy_ev_per_atom": -3.21,
  "m_tot_mub_per_fu": 0.00,
  "vol_a3_per_atom": 29.0
}



4.
{
  "formula": "Cd2SiSe",
  "functional": "GGA-PBE",
  "state": "optimized geometry",
  "lattice": [[1.6788, -2.8358, 0.0000], [1.6788, 2.8358, 0.0000], [0.0000, 0.0000, 10.0559]],
  "species": ["Cd", "Cd", "Si", "Se"],
  "frac_coords": [[0.0000, 0.0000, 0.0000], [0.5000, 0.5000, 0.2727], [0.0000, 0.0000, 0.5284], [0.5000, 0.5000, 0.6955]],
  "raw_formation_energy_ev_per_atom": 0.24,
  "e_above_lowest_polymorph_ev_per_atom": 0.158,
  "energy_ev_per_atom": -2.45,
  "m_tot_mub_per_fu": 0.00,
  "vol_a3_per_atom": 23.9
}



5.
{
  "formula": "CaMn2Fe",
  "functional": "GGA-PBE",
  "state": "optimized geometry",
  "lattice": [[1.9572, 1.1300, 5.2468], [-1.9572, 1.1300, 5.2468], [0.0000, -2.2599, 5.2468]],
  "species": ["Ca", "Mn", "Mn", "Fe"],
  "frac_coords": [[0.0000, 0.0000, 0.0000], [0.1912, 0.1912, 0.1912], [0.8088, 0.8088, 0.8088], [0.5000, 0.5000, 0.5000]],
  "e_above_lowest_polymorph_ev_per_atom": 0.122,
  "energy_ev_per_atom": -6.73,
  "m_tot_mub_per_fu": 1.04,
  "vol_a3_per_atom": 17.4,
  "formation_energy_ev_per_atom": 0.47
}



6.
{
  "formula": "AsOs2Se",
  "functional": "GGA-PBE",
  "state": "optimized geometry",
  "lattice": [[4.0376, -1.4935, 0.0000], [4.0376, 1.4935, 0.0000], [-1.1290, 0.0000, 5.0685]],
  "species": ["As", "Os", "Os", "Se"],
  "frac_coords": [[0.0000, 0.0000, 0.0000], [0.2510, 0.2510, 0.7565], [0.7490, 0.7490, 0.2435], [0.5000, 0.5000, 0.5000]],
  "raw_formation_energy_ev_per_atom": 0.50,
  "e_above_lowest_polymorph_ev_per_atom": 0.256,
  "energy_ev_per_atom": -7.15,
  "m_tot_mub_per_fu": 0.00,
  "vol_a3_per_atom": 15.3
}



7.
{
  "formula": "Tb4PrNd7",
  "functional": "GGA-PBE",
  "state": "optimized geometry",
  "lattice": [[8.1282, -3.0306, 0.0000], [8.1282, 3.0306, 0.0000], [-4.2211, 0.0000, 8.5101]],
  "species": ["Tb", "Tb", "Tb", "Tb", "Pr", "Nd", "Nd", "Nd", "Nd", "Nd", "Nd", "Nd"],
  "frac_coords": [[0.0715, 0.0715, 0.1973], [0.1704, 0.1704, 0.8846], [0.8296, 0.8296, 0.1154], [0.9285, 0.9285, 0.8027], [0.5000, 0.5000, 0.5000], [0.0000, 0.0000, 0.5000], [0.2859, 0.2859, 0.6173], [0.2882, 0.2882, 0.2639], [0.4147, 0.4147, 0.0506], [0.5853, 0.5853, 0.9494], [0.7118, 0.7118, 0.7361], [0.7141, 0.7141, 0.3827]],
  "e_above_lowest_polymorph_ev_per_atom": 0.196,
  "energy_ev_per_atom": -4.52,
  "m_tot_mub_per_fu": 0.03,
  "vol_a3_per_atom": 34.9,
  "formation_energy_ev_per_atom": 0.20
}



8.
{
  "formula": "Tl15Cd2Sb2",
  "functional": "GGA-PBE",
  "state": "optimized geometry",
  "lattice": [[5.0111, 2.8931, 7.3329], [-5.0111, 2.8931, 7.3329], [0.0000, -5.7863, 7.3329]],
  "species": ["Tl", "Tl", "Tl", "Tl", "Tl", "Tl", "Tl", "Tl", "Tl", "Tl", "Tl", "Tl", "Tl", "Tl", "Tl", "Cd", "Cd", "Sb", "Sb"],
  "frac_coords": [[0.0000, 0.0000, 0.5000], [0.0000, 0.3132, 0.6868], [0.0000, 0.5000, 0.0000], [0.0000, 0.6868, 0.3132], [0.1898, 0.5764, 0.5764], [0.3132, 0.0000, 0.6868], [0.3132, 0.6868, 0.0000], [0.4236, 0.4236, 0.8102], [0.4236, 0.8102, 0.4236], [0.5000, 0.0000, 0.0000], [0.5764, 0.1898, 0.5764], [0.5764, 0.5764, 0.1898], [0.6868, 0.0000, 0.3132], [0.6868, 0.3132, 0.0000], [0.8102, 0.4236, 0.4236], [0.0905, 0.0905, 0.0905], [0.9095, 0.9095, 0.9095], [0.3401, 0.3401, 0.3401], [0.6599, 0.6599, 0.6599]],
  "raw_formation_energy_ev_per_atom": 0.12,
  "energy_ev_per_atom": -2.28,
  "m_tot_mub_per_fu": 0.00,
  "vol_a3_per_atom": 33.6
}



9.
{
  "formula": "CsKPaO4",
  "functional": "GGA-PBE",
  "state": "optimized geometry",
  "lattice": [[-2.2352, 2.2352, 7.3259], [2.2352, -2.2352, 7.3259], [2.2352, 2.2352, -7.3259]],
  "species": ["Cs", "K", "Pa", "O", "O", "O", "O"],
  "frac_coords": [[0.0000, 0.0000, 0.0000], [0.7016, 0.7016, 0.0000], [0.3379, 0.3379, 0.0000], [0.2001, 0.2001, 0.0000], [0.3348, 0.8348, 0.5000], [0.4759, 0.4759, 0.0000], [0.8348, 0.3348, 0.5000]],
  "raw_formation_energy_ev_per_atom": -2.48,
  "energy_ev_per_atom": -6.95,
  "m_tot_mub_per_fu": 0.92,
  "vol_a3_per_atom": 20.9
}



10.
{
  "formula": "PmMgBiPb",
  "functional": "GGA-PBE",
  "state": "optimized geometry",
  "lattice": [[0.0000, 3.8696, 3.8696], [3.8696, 0.0000, 3.8696], [3.8696, 3.8696, 0.0000]],
  "species": ["Pm", "Mg", "Bi", "Pb"],
  "frac_coords": [[0.0000, 0.0000, 0.0000], [0.5000, 0.5000, 0.5000], [0.7500, 0.7500, 0.7500], [0.2500, 0.2500, 0.2500]],
  "energy_ev_per_atom": -3.76,
  "m_tot_mub_per_fu": 0.00,
  "vol_a3_per_atom": 29.0,
  "formation_energy_ev_per_atom": -0.27
}



11.
{
  "formula": "LiVSb2Pb",
  "functional": "GGA-PBE",
  "state": "optimized geometry",
  "lattice": [[5.8549, 0.0000, 0.0000], [0.0000, 5.8549, 0.0000], [0.0000, 0.0000, 5.2504]],
  "species": ["Li", "V", "Sb", "Sb", "Pb"],
  "frac_coords": [[0.0000, 0.0000, 0.0000], [0.5000, 0.5000, 0.0000], [0.0000, 0.5000, 0.5000], [0.5000, 0.0000, 0.5000], [0.5000, 0.5000, 0.5000]],
  "raw_formation_energy_ev_per_atom": 0.95,
  "energy_ev_per_atom": -3.65,
  "m_tot_mub_per_fu": 2.92,
  "vol_a3_per_atom": 36.0
}



12.
{
  "formula": "SmTc3P2",
  "functional": "GGA-PBE",
  "state": "optimized geometry",
  "lattice": [[7.8960, -2.0332, 0.0000], [7.8960, 2.0332, 0.0000], [-2.5885, 0.0000, 9.1331]],
  "species": ["Sm", "Sm", "Sm", "Tc", "Tc", "Tc", "Tc", "Tc", "Tc", "Tc", "Tc", "Tc", "P", "P", "P", "P", "P", "P"],
  "frac_coords": [[0.0000, 0.0000, 0.0000], [0.1612, 0.1612, 0.7109], [0.8388, 0.8388, 0.2891], [0.0372, 0.0372, 0.3624], [0.2076, 0.2076, 0.3883], [0.3213, 0.3213, 0.0186], [0.3815, 0.3815, 0.7953], [0.5000, 0.5000, 0.5000], [0.6185, 0.6185, 0.2047], [0.6787, 0.6787, 0.9814], [0.7924, 0.7924, 0.6117], [0.9628, 0.9628, 0.6376], [0.1994, 0.1994, 0.1322], [0.3521, 0.3521, 0.5362], [0.4609, 0.4609, 0.2100], [0.5391, 0.5391, 0.7900], [0.6479, 0.6479, 0.4638], [0.8006, 0.8006, 0.8678]],
  "energy_ev_per_atom": -8.41,
  "m_tot_mub_per_fu": 0.00,
  "vol_a3_per_atom": 16.3,
  "formation_energy_ev_per_atom": -0.64
}